The following is a DFT calculation (PBE) of a relaxed CsKRb2Zn crystal.

Properties
formation enthalpy at 0 K = 0.5 eV/f.u.
crystal system = tetragonal
electronic total energy = -0.94 eV per atom

CIF file:
```
data_CsKRb2Zn
_space_group_name_H-M_alt 'P 4/m m m'
_space_group_IT_number 123
_space_group_name_Hall '-P 4 2'
_cell_length_a 7.272
_cell_length_b 7.272
_cell_length_c 7.075
_cell_angle_alpha 90.00
_cell_angle_beta 90.00
_cell_angle_gamma 90.00
loop_
_atom_site_label
_atom_site_fract_x
_atom_site_fract_y
_atom_site_fract_z
_atom_site_occupancy
Cs1 0.000 0.000 0.000 1
K1 0.500 0.500 0.000 1
Rb1 0.000 0.500 0.500 1
Zn1 0.500 0.500 0.500 1
```